No. 1
# Mn4V2Ga GGA-PBE optimized geometry
data_Mn4V2Ga
_symmetry_space_group_name_H-M 'I 4/m m m'
_symmetry_Int_Tables_number 139
_symmetry_space_group_name_Hall '-I 4 2'
_cell_length_a 4.3707
_cell_length_b 4.3707
_cell_length_c 12.1516
_cell_angle_alpha 90.00
_cell_angle_beta 90.00
_cell_angle_gamma 90.00
loop_
_atom_site_label
_atom_site_type_symbol
_atom_site_fract_x
_atom_site_fract_y
_atom_site_fract_z
_atom_site_occupancy
Mn1 Mn 0.0000 0.0000 0.1991 1
Mn2 Mn 0.0000 0.5000 0.0000 1
V1 V 0.0000 0.0000 0.3834 1
Ga1 Ga 0.0000 0.0000 0.0000 1
# E_form: 6.21 eV/f.u.

No. 2
# LaCuSi2 GGA-PBE optimized geometry
data_LaCuSi2
_symmetry_space_group_name_H-M 'C 1 2/m 1'
_symmetry_Int_Tables_number 12
_cell_length_a 7.0922
_cell_length_b 4.0178
_cell_length_c 5.8348
_cell_angle_alpha 90.00
_cell_angle_beta 113.14
_cell_angle_gamma 90.00
loop_
_symmetry_equiv_pos_as_xyz
'x,y,z'
'-x,-y,-z'
'-x,y,-z'
'x,-y,z'
'x+1/2,y+1/2,z'
'-x+1/2,-y+1/2,-z'
'-x+1/2,y+1/2,-z'
'x+1/2,-y+1/2,z'
loop_
_atom_site_label
_atom_site_type_symbol
_atom_site_fract_x
_atom_site_fract_y
_atom_site_fract_z
_atom_site_occupancy
La1 La 0.0000 0.0000 0.0000 1
Cu1 Cu 0.0000 0.5000 0.5000 1
Si1 Si 0.2116 0.0000 0.6258 1
# ΔE_f (raw): -0.4884 eV per atom

No. 3
# BaAc2In GGA-PBE optimized geometry
data_BaAc2In
_symmetry_space_group_name_H-M 'P 4/m m m'
_symmetry_Int_Tables_number 123
_symmetry_space_group_name_Hall '-P 4 2'
_cell_length_a 5.4821
_cell_length_b 5.4821
_cell_length_c 5.3123
_cell_angle_alpha 90.00
_cell_angle_beta 90.00
_cell_angle_gamma 90.00
loop_
_atom_site_label
_atom_site_type_symbol
_atom_site_fract_x
_atom_site_fract_y
_atom_site_fract_z
_atom_site_occupancy
Ba1 Ba 0.0000 0.0000 0.0000 1
Ac1 Ac 0.0000 0.5000 0.5000 1
In1 In 0.5000 0.5000 0.0000 1
# E_form: -0.42 eV/f.u.
# energy above the lowest structure with this stoichiometry: 43 meV/atom

No. 4
# LaCe2Ir GGA-PBE optimized geometry
data_LaCe2Ir
_symmetry_space_group_name_H-M 'R 3 m'
_symmetry_Int_Tables_number 160
_symmetry_space_group_name_Hall 'R 3 -2"'
_cell_length_a 3.9741
_cell_length_b 3.9741
_cell_length_c 27.1235
_cell_angle_alpha 90.00
_cell_angle_beta 90.00
_cell_angle_gamma 120.00
loop_
_atom_site_label
_atom_site_type_symbol
_atom_site_fract_x
_atom_site_fract_y
_atom_site_fract_z
_atom_site_occupancy
La1 La 0.0000 0.0000 0.0000 1
Ce1 Ce 0.0000 0.0000 0.2274 1
Ce2 Ce 0.0000 0.0000 0.4425 1
Ir1 Ir 0.0000 0.0000 0.8355 1
# E_form: -1.24 eV/f.u.
# energy above the lowest structure with this stoichiometry: 113 meV/atom

No. 5
# La2NiAg2 GGA-PBE optimized geometry
data_La2NiAg2
_symmetry_space_group_name_H-M 'P 4/m b m'
_symmetry_Int_Tables_number 127
_symmetry_space_group_name_Hall '-P 4 2ab'
_cell_length_a 7.4874
_cell_length_b 7.4874
_cell_length_c 4.4542
_cell_angle_alpha 90.00
_cell_angle_beta 90.00
_cell_angle_gamma 90.00
loop_
_atom_site_label
_atom_site_type_symbol
_atom_site_fract_x
_atom_site_fract_y
_atom_site_fract_z
_atom_site_occupancy
La1 La 0.1761 0.3239 0.0000 1
Ni1 Ni 0.0000 0.0000 0.5000 1
Ag1 Ag 0.1324 0.6324 0.5000 1
# E_form: -0.23 eV/f.u.
# energy above the lowest structure with this stoichiometry: 229 meV/atom

No. 6
# TcPBr3 GGA-PBE optimized geometry
data_TcPBr3
_symmetry_space_group_name_H-M 'P m -3 m'
_symmetry_Int_Tables_number 221
_symmetry_space_group_name_Hall '-P 4 2 3'
_cell_length_a 4.9974
_cell_length_b 4.9974
_cell_length_c 4.9974
_cell_angle_alpha 90.00
_cell_angle_beta 90.00
_cell_angle_gamma 90.00
loop_
_atom_site_label
_atom_site_type_symbol
_atom_site_fract_x
_atom_site_fract_y
_atom_site_fract_z
_atom_site_occupancy
Tc1 Tc 0.0000 0.0000 0.0000 1
P1 P 0.5000 0.5000 0.5000 1
Br1 Br 0.0000 0.0000 0.5000 1
# energy above the lowest structure with this stoichiometry: 0 meV/atom
# ΔE_f (raw): 0.7927 eV per atom

No. 7
# Na3Pm2YSe6 GGA-PBE optimized geometry
data_Na3Pm2YSe6
_symmetry_space_group_name_H-M 'C 1 2/m 1'
_symmetry_Int_Tables_number 12
_cell_length_a 7.3092
_cell_length_b 12.6608
_cell_length_c 7.4237
_cell_angle_alpha 90.00
_cell_angle_beta 109.17
_cell_angle_gamma 90.00
loop_
_symmetry_equiv_pos_as_xyz
'x,y,z'
'-x,-y,-z'
'-x,y,-z'
'x,-y,z'
'x+1/2,y+1/2,z'
'-x+1/2,-y+1/2,-z'
'-x+1/2,y+1/2,-z'
'x+1/2,-y+1/2,z'
loop_
_atom_site_label
_atom_site_type_symbol
_atom_site_fract_x
_atom_site_fract_y
_atom_site_fract_z
_atom_site_occupancy
Na1 Na 0.0000 0.0000 0.0000 1
Na2 Na 0.0000 0.3328 0.0000 1
Pm1 Pm 0.0000 0.1665 0.5000 1
Y1 Y 0.0000 0.5000 0.5000 1
Se1 Se 0.2415 0.3362 0.7334 1
Se2 Se 0.2502 0.0000 0.7327 1
# ΔE_f (raw): -1.6991 eV per atom

No. 8
# CdAg2Sb GGA-PBE optimized geometry
data_CdAg2Sb
_symmetry_space_group_name_H-M 'P 4/m m m'
_symmetry_Int_Tables_number 123
_symmetry_space_group_name_Hall '-P 4 2'
_cell_length_a 4.4056
_cell_length_b 4.4056
_cell_length_c 4.3466
_cell_angle_alpha 90.00
_cell_angle_beta 90.00
_cell_angle_gamma 90.00
loop_
_atom_site_label
_atom_site_type_symbol
_atom_site_fract_x
_atom_site_fract_y
_atom_site_fract_z
_atom_site_occupancy
Cd1 Cd 0.0000 0.0000 0.0000 1
Ag1 Ag 0.0000 0.5000 0.5000 1
Sb1 Sb 0.5000 0.5000 0.0000 1
# energy above the lowest structure with this stoichiometry: 0 meV/atom
# ΔE_f (raw): 0.0444 eV per atom

No. 9
# LiNi4B2 GGA-PBE optimized geometry
data_LiNi4B2
_symmetry_space_group_name_H-M 'I 4/m m m'
_symmetry_Int_Tables_number 139
_symmetry_space_group_name_Hall '-I 4 2'
_cell_length_a 5.0456
_cell_length_b 5.0456
_cell_length_c 5.0166
_cell_angle_alpha 90.00
_cell_angle_beta 90.00
_cell_angle_gamma 90.00
loop_
_atom_site_label
_atom_site_type_symbol
_atom_site_fract_x
_atom_site_fract_y
_atom_site_fract_z
_atom_site_occupancy
Li1 Li 0.0000 0.0000 0.0000 1
Ni1 Ni 0.2500 0.2500 0.2500 1
B1 B 0.0000 0.5000 0.0000 1
# E_form: -0.19 eV/f.u.

No. 10
# NdSm GGA-PBE optimized geometry
data_NdSm
_symmetry_space_group_name_H-M 'P 1 21/m 1'
_symmetry_Int_Tables_number 11
_cell_length_a 3.6866
_cell_length_b 5.9167
_cell_length_c 6.3888
_cell_angle_alpha 90.00
_cell_angle_beta 90.05
_cell_angle_gamma 90.00
loop_
_symmetry_equiv_pos_as_xyz
'x,y,z'
'-x,-y,-z'
'-x,y+1/2,-z'
'x,-y+1/2,z'
loop_
_atom_site_label
_atom_site_type_symbol
_atom_site_fract_x
_atom_site_fract_y
_atom_site_fract_z
_atom_site_occupancy
Nd1 Nd 0.9997 0.2500 0.1660 1
Sm1 Sm 0.4983 0.2500 0.6656 1
# E_form: 0.07 eV/f.u.
# energy above the lowest structure with this stoichiometry: 22 meV/atom

No. 11
# La2TbY4 GGA-PBE optimized geometry
data_La2TbY4
_symmetry_space_group_name_H-M 'C m m m'
_symmetry_Int_Tables_number 65
_symmetry_space_group_name_Hall '-C 2 2'
_cell_length_a 5.9746
_cell_length_b 23.3159
_cell_length_c 3.4411
_cell_angle_alpha 90.00
_cell_angle_beta 90.00
_cell_angle_gamma 90.00
loop_
_atom_site_label
_atom_site_type_symbol
_atom_site_fract_x
_atom_site_fract_y
_atom_site_fract_z
_atom_site_occupancy
La1 La 0.0000 0.2165 0.0000 1
Tb1 Tb 0.0000 0.5000 0.5000 1
Y1 Y 0.0000 0.0772 0.5000 1
Y2 Y 0.0000 0.3663 0.0000 1
# E_form: 1.51 eV/f.u.
# energy above the lowest structure with this stoichiometry: 0 meV/atom

No. 12
# CoS2I GGA-PBE optimized geometry
data_CoS2I
_symmetry_space_group_name_H-M 'I -4 2 d'
_symmetry_Int_Tables_number 122
_symmetry_space_group_name_Hall 'I -4 2bw'
_cell_length_a 6.2837
_cell_length_b 6.2837
_cell_length_c 9.1937
_cell_angle_alpha 90.00
_cell_angle_beta 90.00
_cell_angle_gamma 90.00
loop_
_atom_site_label
_atom_site_type_symbol
_atom_site_fract_x
_atom_site_fract_y
_atom_site_fract_z
_atom_site_occupancy
Co1 Co 0.0000 0.0000 0.0000 1
S1 S 0.1290 0.2500 0.1250 1
I1 I 0.0000 0.0000 0.5000 1
# energy above the lowest structure with this stoichiometry: 202 meV/atom
# ΔE_f (raw): 0.0973 eV per atom